No. 1
DFT (PBE-GGA) results for crystalline Zn2CdPtSe at its relaxed geometry.

CIF file:
```
data_Zn2CdPtSe
_chemical_formula_sum 'Zn2 Cd1 Pt1 Se1'
_space_group_name_H-M_alt 'P 4/m m m'
_space_group_IT_number 123
_space_group_name_Hall '-P 4 2'
_cell_length_a 4.856
_cell_length_b 4.856
_cell_length_c 5.153
_cell_angle_alpha 90.00
_cell_angle_beta 90.00
_cell_angle_gamma 90.00
loop_
_atom_site_label
_atom_site_fract_x
_atom_site_fract_y
_atom_site_fract_z
_atom_site_occupancy
Zn1 0.000 0.500 0.000 1
Cd1 0.000 0.000 0.000 1
Pt1 0.000 0.000 0.500 1
Se1 0.500 0.500 0.500 1
```

uncorrected energy	-9.16	eV per cell
size of the total moment	0.00	μB/cell
ρ	7069	kg/m3
formation energy from raw total energies	0.77	eV per atom
DOS(E_F)	3.62	states/eV per cell

---

No. 2
DFT (PBE-GGA) results for crystalline RuW2Br at its relaxed geometry.

CIF file:
```
data_RuW2Br
_chemical_formula_sum 'Ru2 W4 Br2'
_space_group_name_H-M_alt 'I m m 2'
_space_group_IT_number 44
_space_group_name_Hall 'I 2 -2'
_cell_length_a 2.941
_cell_length_b 4.613
_cell_length_c 9.294
_cell_angle_alpha 90.00
_cell_angle_beta 90.00
_cell_angle_gamma 90.00
loop_
_atom_site_label
_atom_site_fract_x
_atom_site_fract_y
_atom_site_fract_z
_atom_site_occupancy
Ru1 0.000 0.000 0.000 1
W1 0.000 0.000 0.532 1
W2 0.000 0.500 0.752 1
Br1 0.000 0.500 0.262 1
```

uncorrected energy	-67.05	eV per cell
size of the total moment	0.00	μB/cell
ρ	14451	kg/m3
formation energy from raw total energies	0.83	eV per atom
DOS(E_F)	5.90	states/eV per cell

---

No. 3
DFT (PBE-GGA) results for crystalline Pr3InF at its relaxed geometry.

CIF file:
```
data_Pr3InF
_chemical_formula_sum 'Pr3 In1 F1'
_space_group_name_H-M_alt 'P m -3 m'
_space_group_IT_number 221
_space_group_name_Hall '-P 4 2 3'
_cell_length_a 5.091
_cell_length_b 5.091
_cell_length_c 5.091
_cell_angle_alpha 90.00
_cell_angle_beta 90.00
_cell_angle_gamma 90.00
loop_
_atom_site_label
_atom_site_fract_x
_atom_site_fract_y
_atom_site_fract_z
_atom_site_occupancy
Pr1 0.000 0.000 0.500 1
In1 0.500 0.500 0.500 1
F1 0.000 0.000 0.000 1
```

uncorrected energy	-24.65	eV per cell
size of the total moment	0.00	μB/cell
ρ	7004	kg/m3
formation energy from raw total energies	-1.14	eV per atom
DOS(E_F)	4.14	states/eV per cell

---

No. 4
DFT (PBE-GGA) results for crystalline BaSc2Cu2 at its relaxed geometry.

CIF file:
```
data_BaSc2Cu2
_chemical_formula_sum 'Ba2 Sc4 Cu4'
_space_group_name_H-M_alt 'P 4/m b m'
_space_group_IT_number 127
_space_group_name_Hall '-P 4 2ab'
_cell_length_a 8.110
_cell_length_b 8.110
_cell_length_c 3.575
_cell_angle_alpha 90.00
_cell_angle_beta 90.00
_cell_angle_gamma 90.00
loop_
_atom_site_label
_atom_site_fract_x
_atom_site_fract_y
_atom_site_fract_z
_atom_site_occupancy
Ba1 0.000 0.000 0.000 1
Sc1 0.146 0.354 0.500 1
Cu1 0.116 0.616 0.000 1
```

uncorrected energy	-44.28	eV per cell
size of the total moment	0.00	μB/cell
ρ	5005	kg/m3
E_form	0.13	eV per atom
DOS(E_F)	16.05	states/eV per cell

---

No. 5
DFT (PBE-GGA) results for crystalline RbS2F at its relaxed geometry.

CIF file:
```
data_RbS2F
_chemical_formula_sum 'Rb4 S8 F4'
_space_group_name_H-M_alt 'F m -3 m'
_space_group_IT_number 225
_space_group_name_Hall '-F 4 2 3'
_cell_length_a 7.455
_cell_length_b 7.455
_cell_length_c 7.455
_cell_angle_alpha 90.00
_cell_angle_beta 90.00
_cell_angle_gamma 90.00
loop_
_atom_site_label
_atom_site_fract_x
_atom_site_fract_y
_atom_site_fract_z
_atom_site_occupancy
Rb1 0.000 0.000 0.000 1
S1 0.250 0.250 0.250 1
F1 0.000 0.000 0.500 1
```

uncorrected energy	-40.32	eV per cell
size of the total moment	16.00	μB/cell
ρ	2703	kg/m3
formation energy from raw total energies	0.25	eV per atom
DOS(E_F)	15.84	states/eV per cell

---

No. 6
DFT (PBE-GGA) results for crystalline Nd2AlBi at its relaxed geometry.

CIF file:
```
data_Nd2AlBi
_chemical_formula_sum 'Nd6 Al3 Bi3'
_space_group_name_H-M_alt 'R -3 m'
_space_group_IT_number 166
_space_group_name_Hall '-R 3 2"'
_cell_length_a 4.3737
_cell_length_b 4.3737
_cell_length_c 23.4707
_cell_angle_alpha 90.00
_cell_angle_beta 90.00
_cell_angle_gamma 120.00
loop_
_atom_site_label
_atom_site_fract_x
_atom_site_fract_y
_atom_site_fract_z
_atom_site_occupancy
Nd1 0.0000 0.0000 0.2504 1
Al1 0.0000 0.0000 0.5000 1
Bi1 0.0000 0.0000 0.0000 1
```

uncorrected energy	-56.70	eV per cell
size of the total moment	0.00	μB/cell
ρ	6719	kg/m3
E_form	-0.44	eV per atom
DOS(E_F)	8.89	states/eV per cell